No. 1
# Na4CdBi

Na4CdBi after structural relaxation (PBE, Alexandria).

Calculated values
Its crystal system is orthorhombic. The calculation puts the formation energy at -1.04 eV per formula unit. The uncorrected energy is -1.85 eV/atom.

extended XYZ file:
```
12
Lattice="-3.7327 2.1787 3.1816 -0.8167 -5.8261 3.0314 6.2370 -0.6089 7.7344" Properties=species:S:1:pos:R:3 pbc="T T T"
Na 1.0149 -4.3344 6.4225
Na -1.1810 -5.0899 4.3630
Na 0.2604 -2.8596 9.0538
Na 2.4586 -2.0914 11.1063
Na 0.6727 0.0782 7.5248
Na 1.4272 -1.3967 4.8935
Na 2.8686 0.8336 9.5843
Na -0.7710 -2.1648 2.8410
Cd -1.2729 0.7777 4.7637
Cd 2.9605 -5.0339 9.1836
Bi -1.8129 -2.1810 6.1562
Bi 3.5005 -2.0752 7.7911
```

=====

No. 2
# Na2CdBi6

Na2CdBi6 after structural relaxation (PBE, Alexandria).

Calculated values
Its crystal system is monoclinic. The calculation puts the formation energy at -0.41 eV per formula unit. The uncorrected energy is -3.03 eV/atom.

extended XYZ file:
```
18
Lattice="-2.1500 5.7031 -5.4295 3.4898 -3.4026 -4.9560 -10.6508 -1.8786 -6.2100" Properties=species:S:1:pos:R:3 pbc="T T T"
Na -7.6921 2.3120 -11.8784
Na -6.2746 -1.6790 -13.0148
Na -3.0365 2.1010 -3.5807
Na -1.6189 -1.8901 -4.7172
Cd 0.6699 1.1503 -5.1928
Cd -5.3254 -0.9393 -3.1050
Bi -4.9995 4.8575 -6.8555
Bi -4.5448 0.2513 -10.5564
Bi -9.4219 0.3818 -14.3368
Bi -6.1978 1.8630 -8.2088
Bi -11.2586 2.1725 -11.7283
Bi -1.8060 1.0565 -6.8719
Bi -4.3116 -4.4356 -9.7400
Bi -4.7663 0.1707 -6.0391
Bi 0.1109 0.0402 -2.2587
Bi -3.1133 -1.4410 -8.3867
Bi 1.9476 -1.7506 -4.8672
Bi -7.5051 -0.6345 -9.7236
```

=====

No. 3
# NaCd2Bi2

NaCd2Bi2 after structural relaxation (PBE, Alexandria).

Calculated values
Its crystal system is monoclinic. The calculation puts the formation energy at -0.19 eV per formula unit. Its energy above the lowest structure with this stoichiometry is 0.35 eV per formula unit. The uncorrected energy is -2.22 eV/atom.

extended XYZ file:
```
10
Lattice="8.1491 -0.2151 0.5979 -1.9032 7.9267 0.5979 -2.3912 -2.9523 4.2207" Properties=species:S:1:pos:R:3 pbc="T T T"
Na -1.5862 6.4477 1.6531
Na 5.4409 -1.6885 3.7635
Cd 3.9844 3.4766 2.7354
Cd 2.4772 1.6157 0.5708
Cd 1.3775 3.1435 4.8457
Cd -0.1297 1.2826 2.6812
Bi 1.1541 4.2282 1.6531
Bi 5.5271 0.6863 1.6531
Bi -1.6724 4.0729 3.7635
Bi 2.7006 0.5310 3.7635
```

=====

No. 4
# Na3CdBi

Na3CdBi after structural relaxation (PBE, Alexandria).

Calculated values
Its crystal system is orthorhombic. The calculation puts the formation energy at -0.37 eV per formula unit. Its energy above the lowest structure with this stoichiometry is 1.00 eV per formula unit. The uncorrected energy is -1.82 eV/atom.

extended XYZ file:
```
10
Lattice="-2.4746 -4.0810 6.2180 6.6725 -0.7766 -4.0394 2.2000 7.3509 1.6018" Properties=species:S:1:pos:R:3 pbc="T T T"
Na 3.2414 4.9946 0.3515
Na 5.9222 1.2602 -2.5913
Na 5.3420 2.5466 1.3949
Na 2.3265 1.6910 -0.0870
Na 1.3503 -0.4112 2.4916
Na 4.3204 0.5143 3.9967
Cd 1.0806 5.1730 4.7689
Cd 3.4539 -0.5232 -1.9556
Bi 4.4315 -0.7555 0.9765
Bi 2.2255 2.9491 2.9384
```

=====

No. 5
# Na2Cd6Bi

Na2Cd6Bi after structural relaxation (PBE, Alexandria).

Calculated values
Its crystal system is trigonal. The calculation puts the formation energy at -0.73 eV per formula unit. The uncorrected energy is -1.42 eV/atom.

extended XYZ file:
```
9
Lattice="6.1290 0.0000 0.0013 3.0646 5.3079 0.0000 -0.0004 0.0002 7.4823" Properties=species:S:1:pos:R:3 pbc="T T T"
Na 6.1288 3.5387 0.7274
Na 3.0644 1.7694 6.7561
Cd 7.5873 4.3807 4.9160
Cd 4.6702 4.3808 4.9146
Cd 6.1288 1.8546 4.9160
Cd 1.6059 0.9274 2.5675
Cd 4.5230 0.9272 2.5689
Cd 3.0644 3.4535 2.5675
Bi 0.0000 0.0000 0.0000
```

=====

No. 6
# NaCd2Bi2

NaCd2Bi2 after structural relaxation (PBE, Alexandria).

Calculated values
Its crystal system is tetragonal. The calculation puts the formation energy at -0.51 eV per formula unit. Its energy above the lowest structure with this stoichiometry is 0.03 eV per formula unit. The uncorrected energy is -2.28 eV/atom.

extended XYZ file:
```
5
Lattice="-3.9125 1.7314 1.4736 -2.2706 -3.1273 -2.3540 -2.8949 -5.3348 5.5302" Properties=species:S:1:pos:R:3 pbc="T T T"
Na 0.0000 0.0000 0.0000
Bi -3.0468 -1.7530 0.9183
Bi -6.0312 -4.9777 3.7314
Cd -4.9495 -2.1507 3.2818
Cd -4.1285 -4.5800 1.3680
```

=====

No. 7
# Na2Cd5Bi3

Na2Cd5Bi3 after structural relaxation (PBE, Alexandria).

Calculated values
Its crystal system is monoclinic. The calculation puts the formation energy at -0.80 eV per formula unit. The uncorrected energy is -1.97 eV/atom.

extended XYZ file:
```
20
Lattice="-3.5351 -4.9241 -1.2676 8.7855 -4.3057 -1.1155 -0.2268 -0.6515 9.8230" Properties=species:S:1:pos:R:3 pbc="T T T"
Na 1.9356 -7.3171 0.0271
Na 0.0107 -3.3579 5.1428
Na 3.0879 -2.5642 7.4129
Na 5.0129 -6.5234 2.2972
Cd 0.5993 -5.0722 8.2457
Cd 7.9418 -4.8705 2.1130
Cd 4.4242 -4.8091 -0.8057
Cd -2.9182 -5.0107 5.3270
Cd 6.4301 -4.0860 7.8533
Cd -1.4065 -5.7953 -0.4133
Cd 1.6919 -6.1976 3.3255
Cd 3.3316 -3.6837 4.1145
Cd -0.7347 -2.8890 1.5504
Cd 5.7583 -6.9922 5.8896
Bi 2.6692 -5.8430 6.2227
Bi 6.3433 -4.1540 4.5424
Bi 2.3544 -4.0383 1.2173
Bi -1.3198 -5.7273 2.8976
Bi -0.2837 -2.2178 8.5025
Bi 5.3072 -7.6635 -1.0625
```

=====

No. 8
# NaCdBi2

NaCdBi2 after structural relaxation (PBE, Alexandria).

Calculated values
Its crystal system is tetragonal. The calculation puts the formation energy at -0.50 eV per formula unit. The uncorrected energy is -2.62 eV/atom.

extended XYZ file:
```
4
Lattice="-3.0180 -3.5365 -0.5799 3.3928 -3.1653 1.6460 -1.6342 0.6403 4.5998" Properties=species:S:1:pos:R:3 pbc="T T T"
Na -0.6297 -3.0307 2.8329
Bi -0.8171 0.3202 2.2999
Bi 1.6964 -1.5826 0.8230
Cd -1.5090 -1.7682 -0.2900
```

=====

No. 9
# Na3Cd4Bi4

Na3Cd4Bi4 after structural relaxation (PBE, Alexandria).

Calculated values
Its crystal system is orthorhombic. The calculation puts the formation energy at -1.56 eV per formula unit. The uncorrected energy is -2.25 eV/atom.

extended XYZ file:
```
11
Lattice="4.9442 0.0000 0.0000 0.0000 7.9212 0.0000 -2.4721 -3.9606 8.6868" Properties=species:S:1:pos:R:3 pbc="T T T"
Na 0.0000 0.0000 1.9039
Na 2.4721 3.9606 6.7829
Na 0.0000 3.9606 0.0000
Cd 0.0000 -1.5162 5.8304
Cd 2.4721 2.4444 2.8564
Cd 2.4721 5.4768 2.8564
Cd 0.0000 1.5162 5.8304
Bi 0.0000 3.9606 4.0430
Bi 2.4721 0.0000 4.6437
Bi 2.4721 6.3451 0.0000
Bi 2.4721 1.5761 0.0000
```

=====

No. 10
# Na5Cd2Bi5

Na5Cd2Bi5 after structural relaxation (PBE, Alexandria).

Calculated values
Its crystal system is monoclinic. The calculation puts the formation energy at -2.21 eV per formula unit. The uncorrected energy is -2.50 eV/atom.

extended XYZ file:
```
12
Lattice="-4.3852 -2.3274 -1.9574 2.1617 -2.5897 5.5110 -7.0694 9.1708 4.9336" Properties=species:S:1:pos:R:3 pbc="T T T"
Na -5.7273 3.4217 1.4881
Na -2.4991 -1.9106 0.5960
Na -4.9250 0.5217 3.1390
Na -4.3680 3.7320 5.3483
Na -6.7939 6.1642 7.8912
Cd -5.6365 6.5236 4.8710
Cd -3.6565 -2.2699 3.6163
Bi -2.7124 2.8470 2.6915
Bi -7.8615 4.2454 5.2899
Bi -1.4315 0.0083 3.1973
Bi -6.5806 1.4066 5.7957
Bi 0.0000 0.0000 0.0000
```

=====

No. 11
# NaCdBi2

NaCdBi2 after structural relaxation (PBE, Alexandria).

Calculated values
Its crystal system is tetragonal. The calculation puts the formation energy at -0.35 eV per formula unit. The uncorrected energy is -2.59 eV/atom.

extended XYZ file:
```
4
Lattice="-1.6605 -2.4673 -2.8083 -0.9741 -2.6812 2.9315 -6.1252 3.1547 0.8501" Properties=species:S:1:pos:R:3 pbc="T T T"
Na -4.3799 -0.9969 0.4867
Bi -4.7366 2.4396 0.6574
Bi -1.3886 0.7152 0.1927
Cd -1.3173 -2.5742 0.0616
```

=====

No. 12
# NaCd3Bi

NaCd3Bi after structural relaxation (PBE, Alexandria).

Calculated values
Its crystal system is monoclinic. The calculation puts the formation energy at -0.40 eV per formula unit. Its energy above the lowest structure with this stoichiometry is 0.00 eV per formula unit. The uncorrected energy is -1.67 eV/atom.

extended XYZ file:
```
20
Lattice="8.1526 0.0000 0.0000 0.0000 8.0527 -1.1220 0.0000 -3.8339 8.7379" Properties=species:S:1:pos:R:3 pbc="T T T"
Na 7.8457 4.8494 1.0605
Na 0.3070 -0.6307 6.5554
Na 3.7694 1.2863 2.1865
Na 4.3833 2.9325 5.4295
Cd 0.9781 -0.3238 3.1311
Cd 7.1745 4.5425 4.4848
Cd 5.0544 6.4595 0.1158
Cd 3.0982 -2.2408 7.5001
Cd 4.9505 4.3479 2.3842
Cd 3.2021 -0.1292 5.2317
Cd 0.8742 1.7878 0.8627
Cd 7.2785 2.4309 6.7532
Cd 1.2605 2.1477 4.7578
Cd 6.8922 2.0710 2.8581
Cd 5.3368 0.1541 7.2271
Cd 2.8159 4.0647 0.3889
Bi 2.0540 4.9044 3.6376
Bi 6.0986 -0.6857 3.9783
Bi 6.1303 -2.6026 8.3473
Bi 2.0223 6.8214 -0.7313
```

=====

Question: Look up the uncorrected energy of the twelfth one.
Answer: -1.67 eV/atom